No. 1
This record from Alexandria via LeMat-Bulk describes a PBEsol-optimized structure of LaY3. The functional is meta-GGA SCAN.

Cell lengths 6.136, 6.136, 6.108 Å; angles 99.58, 99.58, 33.63 degrees
Positions (direct):
1 La 0.000 0.000 0.000
2 Y 0.250 0.250 0.751
3 Y 0.500 0.500 0.500
4 Y 0.750 0.750 0.249

Calculated values
energy relative to the elements: 0.04 eV/atom

No. 2
This record from Alexandria via LeMat-Bulk describes a PBEsol-optimized structure of LaY2. The functional is meta-GGA SCAN.

Cell lengths 6.737, 6.737, 8.465 Å; angles 103.33, 103.33, 31.11 degrees
Positions (direct):
1 La 0.000 0.000 0.000
2 La 0.662 0.662 0.330
3 Y 0.052 0.052 0.609
4 Y 0.331 0.331 0.661
5 Y 0.383 0.383 0.275
6 Y 0.723 0.723 0.935

Calculated values
energy relative to the elements: 0.04 eV/atom

No. 3
This record from Alexandria via LeMat-Bulk describes a PBEsol-optimized structure of LaY2. The functional is meta-GGA SCAN.

Cell lengths 6.745, 6.745, 8.453 Å; angles 103.22, 103.22, 31.23 degrees
Positions (direct):
1 La 0.027 0.027 0.303
2 La 0.973 0.973 0.697
3 Y 0.304 0.304 0.361
4 Y 0.358 0.358 0.973
5 Y 0.642 0.642 0.027
6 Y 0.696 0.696 0.639

Calculated values
energy relative to the elements: 0.03 eV/atom